# PBE LiAc2Ga, relaxed
data_LiAc2Ga
_chemical_formula_sum 'Li1 Ac2 Ga1'
_symmetry_space_group_name_H-M 'P 4/m m m'
_symmetry_Int_Tables_number 123
_symmetry_space_group_name_Hall '-P 4 2'
_cell_length_a 5.542
_cell_length_b 5.542
_cell_length_c 4.039
_cell_angle_alpha 90.00
_cell_angle_beta 90.00
_cell_angle_gamma 90.00
loop_
_atom_site_label
_atom_site_fract_x
_atom_site_fract_y
_atom_site_fract_z
_atom_site_occupancy
Li1 0.000 0.000 0.000 1
Ac1 0.000 0.500 0.500 1
Ga1 0.500 0.500 0.000 1
# - Distance to the lowest polymorph of the same formula: 0.006 eV per atom
# - E_form: -84.1 kJ/mol of formula units
# - E: -3.51 eV/atom
# - V: 124.0 Å³ per cell

---

# PBE LiAc2Ga9, relaxed
data_LiAc2Ga9
_chemical_formula_sum 'Li3 Ac6 Ga27'
_symmetry_space_group_name_H-M 'R -3 m'
_symmetry_Int_Tables_number 166
_symmetry_space_group_name_Hall '-R 3 2"'
_cell_length_a 5.9690
_cell_length_b 5.9690
_cell_length_c 26.1216
_cell_angle_alpha 90.00
_cell_angle_beta 90.00
_cell_angle_gamma 120.00
loop_
_atom_site_label
_atom_site_fract_x
_atom_site_fract_y
_atom_site_fract_z
_atom_site_occupancy
Li1 0.0000 0.0000 0.0000 1
Ac1 0.0000 0.0000 0.1377 1
Ga1 0.0000 0.0000 0.3385 1
Ga2 0.0000 0.0000 0.5000 1
Ga3 0.0172 0.5086 0.9195 1
# - E_form: -288.6 kJ/mol of formula units
# - E: -3.36 eV/atom
# - V: 806.0 Å³ per cell

---

# PBE Li3AcGa2, relaxed
data_Li3AcGa2
_chemical_formula_sum 'Li12 Ac4 Ga8'
_symmetry_space_group_name_H-M 'C 1 2/m 1'
_symmetry_Int_Tables_number 12
_cell_length_a 16.657
_cell_length_b 4.543
_cell_length_c 7.729
_cell_angle_alpha 90.00
_cell_angle_beta 114.94
_cell_angle_gamma 90.00
loop_
_symmetry_equiv_pos_as_xyz
'x,y,z'
'-x,-y,-z'
'-x,y,-z'
'x,-y,z'
'x+1/2,y+1/2,z'
'-x+1/2,-y+1/2,-z'
'-x+1/2,y+1/2,-z'
'x+1/2,-y+1/2,z'
loop_
_atom_site_label
_atom_site_fract_x
_atom_site_fract_y
_atom_site_fract_z
_atom_site_occupancy
Li1 0.036 0.000 0.370 1
Li2 0.090 0.500 0.654 1
Li3 0.184 0.500 0.453 1
Ac1 0.151 0.000 0.068 1
Ga1 0.020 0.500 0.172 1
Ga2 0.190 0.000 0.683 1
# - Distance to the lowest polymorph of the same formula: 0.000 eV per atom
# - E_form: -159.7 kJ/mol of formula units
# - E: -2.93 eV/atom
# - V: 530.4 Å³ per cell

---

# PBE LiAc4Ga4, relaxed
data_LiAc4Ga4
_chemical_formula_sum 'Li2 Ac8 Ga8'
_symmetry_space_group_name_H-M 'P 42/n'
_symmetry_Int_Tables_number 86
_cell_length_a 8.956
_cell_length_b 8.956
_cell_length_c 6.692
_cell_angle_alpha 90.00
_cell_angle_beta 90.00
_cell_angle_gamma 90.00
loop_
_symmetry_equiv_pos_as_xyz
'x,y,z'
'-x,-y,-z'
'-y,x+1/2,z+1/2'
'y,-x+1/2,-z+1/2'
'-x+1/2,-y+1/2,z'
'x+1/2,y+1/2,-z'
'y+1/2,-x,z+1/2'
'-y+1/2,x,-z+1/2'
loop_
_atom_site_label
_atom_site_fract_x
_atom_site_fract_y
_atom_site_fract_z
_atom_site_occupancy
Li1 0.250 0.250 0.250 1
Ac1 0.029 0.678 0.108 1
Ga1 0.011 0.359 0.403 1
# - E_form: -307.3 kJ/mol of formula units
# - E: -3.74 eV/atom
# - V: 536.7 Å³ per cell

---

- Among the records above, which one has the lowest E_form?
  LiAc4Ga4